Record 1
An optimized crystal structure of ZrBe4Zn, computed with PBE.

POSCAR file:
```
ZrBe4Zn
1.0
0.000 3.283 3.283
3.283 0.000 3.283
3.283 3.283 0.000
Zr Be Zn
1 4 1
Direct
0.000 0.000 0.000
0.109 0.630 0.630
0.630 0.109 0.630
0.630 0.630 0.109
0.630 0.630 0.630
0.250 0.250 0.250
```

Computed properties:
DFT formation energy in eV/atom: 0.050
Final energy in eV/atom: -4.071

---

Record 2
An optimized crystal structure of AcTm2Cu, computed with PBE.

POSCAR file:
```
AcTm2Cu
1.0
3.563 0.000 0.000
0.000 3.563 0.000
0.000 0.000 8.879
Ac Tm Cu
1 2 1
Direct
0.000 0.000 0.000
0.500 0.500 0.318
0.500 0.500 0.682
0.000 0.000 0.500
```

Computed properties:
DFT formation energy in eV/atom: -0.064
Excess energy over the best structure of this formula in the dataset in meV/atom: 0.0
Final energy in eV/atom: -4.351

---

Record 3
An optimized crystal structure of CeInNi, computed with PBE.

POSCAR file:
```
CeInNi
1.0
-1.604 1.604 5.927
1.604 -1.604 5.927
1.604 1.604 -5.927
Ce In Ni
1 1 1
Direct
0.000 0.000 0.000
0.284 0.284 0.000
0.650 0.650 0.000
```

Computed properties:
DFT formation energy in eV/atom: -0.292
Final energy in eV/atom: -5.110

---

Record 4
An optimized crystal structure of V2AsPt, computed with PBE.

POSCAR file:
```
V2AsPt
1.0
-3.422 3.422 2.673
3.422 -3.422 2.673
3.422 3.422 -2.673
V As Pt
4 2 2
Direct
0.114 0.125 0.489
0.375 0.886 0.011
0.636 0.625 0.511
0.875 0.364 0.989
0.000 0.000 0.000
0.750 0.250 0.500
0.250 0.750 0.500
0.500 0.500 0.000
```

Computed properties:
DFT formation energy in eV/atom: -0.059
Final energy in eV/atom: -7.291

---

Record 5
An optimized crystal structure of CsTaP2Se, computed with PBE.

POSCAR file:
```
CsTaP2Se
1.0
5.320 0.000 0.000
0.000 5.320 0.000
0.000 0.000 5.346
Cs Ta P Se
1 1 2 1
Direct
0.000 0.000 0.000
0.500 0.500 0.500
0.000 0.500 0.000
0.500 0.000 0.000
0.000 0.000 0.500
```

Computed properties:
Final energy in eV/atom: -2.930
Energy relative to the elements, uncorrected in eV/atom: 2.47

---

Record 6
An optimized crystal structure of Ac2HoAg3Sn4, computed with PBE.

POSCAR file:
```
Ac2HoAg3Sn4
1.0
4.747 0.000 0.000
0.000 4.747 0.000
0.000 0.000 12.284
Ac Ho Ag Sn
2 1 3 4
Direct
0.000 0.500 0.234
0.500 0.000 0.766
0.000 0.000 0.500
0.000 0.500 0.870
0.500 0.000 0.130
0.500 0.500 0.500
0.000 0.000 0.000
0.000 0.500 0.648
0.500 0.000 0.352
0.500 0.500 0.000
```

Computed properties:
DFT formation energy in eV/atom: -0.495
Final energy in eV/atom: -4.231

---

Record 7
An optimized crystal structure of Pm6BiSb2Se3, computed with PBE.

POSCAR file:
```
Pm6BiSb2Se3
1.0
9.515 -2.186 0.000
9.515 2.186 0.000
-1.984 0.000 8.486
Pm Bi Sb Se
6 1 2 3
Direct
0.002 0.002 0.238
0.328 0.328 0.421
0.335 0.335 0.912
0.665 0.665 0.088
0.672 0.672 0.579
0.998 0.998 0.762
0.500 0.500 0.500
0.167 0.167 0.832
0.833 0.833 0.168
0.166 0.166 0.333
0.500 0.500 0.000
0.834 0.834 0.667
```

Computed properties:
Final energy in eV/atom: -5.723
Energy relative to the elements, uncorrected in eV/atom: -1.47

---

Record 8
An optimized crystal structure of MoIrAu2, computed with PBE.

POSCAR file:
```
MoIrAu2
1.0
2.852 0.000 0.000
0.000 3.961 0.000
0.000 0.000 5.835
Mo Ir Au
1 1 2
Direct
0.000 0.000 0.000
0.500 0.500 0.198
0.000 0.000 0.474
0.500 0.500 0.729
```

Computed properties:
DFT formation energy in eV/atom: 0.113
Excess energy over the best structure of this formula in the dataset in meV/atom: 101.4
Final energy in eV/atom: -6.449

---

Record 9
An optimized crystal structure of YZrS2Cl, computed with PBE.

POSCAR file:
```
YZrS2Cl
1.0
5.263 0.000 0.000
0.000 5.263 0.000
0.000 0.000 4.987
Y Zr S Cl
1 1 2 1
Direct
0.000 0.000 0.000
0.500 0.500 0.500
0.000 0.500 0.000
0.500 0.000 0.000
0.000 0.000 0.500
```

Computed properties:
Excess energy over the best structure of this formula in the dataset in meV/atom: 365.8
Final energy in eV/atom: -5.725
Energy relative to the elements, uncorrected in eV/atom: -0.70

---

Record 10
An optimized crystal structure of TbNdEr2Se4, computed with PBE.

POSCAR file:
```
TbNdEr2Se4
1.0
7.052 0.000 0.000
0.000 4.034 0.000
-2.314 0.000 6.859
Tb Nd Er Se
1 1 2 4
Direct
0.000 0.000 0.000
0.500 0.500 0.000
0.000 0.500 0.500
0.500 0.000 0.500
0.240 0.000 0.736
0.249 0.500 0.260
0.751 0.500 0.740
0.760 0.000 0.264
```

Computed properties:
Final energy in eV/atom: -5.807
Energy relative to the elements, uncorrected in eV/atom: -1.75

---

Record 11
An optimized crystal structure of Tm3TeS2, computed with PBE.

POSCAR file:
```
Tm3TeS2
1.0
1.990 -6.857 0.000
1.990 6.857 0.000
0.000 0.000 10.733
Tm Te S
6 2 4
Direct
0.064 0.936 0.750
0.355 0.645 0.538
0.355 0.645 0.962
0.645 0.355 0.038
0.645 0.355 0.462
0.936 0.064 0.250
0.269 0.731 0.250
0.731 0.269 0.750
0.000 0.000 0.000
0.000 0.000 0.500
0.442 0.558 0.750
0.558 0.442 0.250
```

Computed properties:
Final energy in eV/atom: -5.589
Energy relative to the elements, uncorrected in eV/atom: -1.45

---

Record 12
An optimized crystal structure of Ba3Li2Au2, computed with PBE.

POSCAR file:
```
Ba3Li2Au2
1.0
-2.351 2.450 10.272
2.351 -2.450 10.272
2.351 2.450 -10.272
Ba Li Au
3 2 2
Direct
0.000 0.000 0.000
0.187 0.687 0.500
0.813 0.313 0.500
0.429 0.429 0.000
0.571 0.571 0.000
0.364 0.864 0.500
0.636 0.136 0.500
```

Computed properties:
DFT formation energy in eV/atom: -0.428
Final energy in eV/atom: -2.735